# PBE TaCuSb, relaxed
# * crystal system: orthorhombic
# * E: -6.34 eV/atom
# * M_tot: 0.000 μB/f.u.
data_TaCuSb
_cell_length_a 3.691
_cell_length_b 4.741
_cell_length_c 13.118
_cell_angle_alpha 90.00
_cell_angle_beta 90.00
_cell_angle_gamma 90.00
_symmetry_space_group_name_H-M 'F m m 2'
_symmetry_Int_Tables_number 42
_symmetry_space_group_name_Hall 'F 2 -2'
loop_
_atom_site_label
_atom_site_type_symbol
_atom_site_fract_x
_atom_site_fract_y
_atom_site_fract_z
Ta1 Ta 0.000 0.000 0.000
Cu1 Cu 0.000 0.000 0.360
Sb1 Sb 0.000 0.000 0.672